1.
First-principles (PBE) data for a relaxed TaAs3Ir crystal, as listed in Alexandria via LeMat-Bulk.

a b c (Å): 4.768 4.768 4.768
angles (deg): 90.00 90.00 90.00
Space group Pm-3m (No. 221)
Asymmetric unit:
Ta1 0.000 0.000 0.000 [1 per cell]
As1 0.000 0.500 0.500 [3 per cell]
Ir1 0.500 0.500 0.500 [1 per cell]

The distance to the lowest polymorph of the same formula is 0.000 eV/atom. The calculation puts the formation energy at 1.07 eV/atom. Its total energy is -5.860 eV per atom.

***

2.
First-principles (PBE) data for a relaxed Ta2AsIr crystal, as listed in Alexandria via LeMat-Bulk.

a b c (Å): 3.972 4.357 7.576
angles (deg): 90.00 90.00 90.00
Space group Cmmm (No. 65)
Asymmetric unit:
Ta1 0.000 0.000 0.250 [4 per cell]
As1 0.000 0.500 0.000 [2 per cell]
Ir1 0.000 0.500 0.500 [2 per cell]

The calculation puts the formation energy at -0.31 eV/atom. Its total energy is -9.616 eV per atom.

***

3.
First-principles (PBE) data for a relaxed Ta2AsIr crystal, as listed in Alexandria via LeMat-Bulk.

a b c (Å): 2.906 3.980 5.815
angles (deg): 90.00 100.37 90.00
Space group P2/m (No. 10)
Asymmetric unit:
Ta1 0.057 0.000 0.247 [2 per cell]
As1 0.500 0.500 0.500 [1 per cell]
Ir1 0.500 0.500 0.000 [1 per cell]

The calculation puts the formation energy at -0.29 eV/atom. Its total energy is -9.598 eV per atom.

***

4.
First-principles (PBE) data for a relaxed TaAsIr2 crystal, as listed in Alexandria via LeMat-Bulk.

a b c (Å): 3.417 4.284 8.492
angles (deg): 90.00 90.00 90.00
Space group Immm (No. 71)
Asymmetric unit:
Ta1 0.000 0.000 0.000 [2 per cell]
As1 0.000 0.000 0.500 [2 per cell]
Ir1 0.000 0.500 0.226 [4 per cell]

The calculation puts the formation energy at -0.24 eV/atom. Its total energy is -8.793 eV per atom.

***

5.
First-principles (PBE) data for a relaxed TaAsIr2 crystal, as listed in Alexandria via LeMat-Bulk.

a b c (Å): 2.8950 2.8950 25.9231
angles (deg): 90.00 90.00 120.00
Space group R3m (No. 160, hexagonal axes)
Asymmetric unit:
Ta1 0.0000 0.0000 0.0000 [3 per cell]
As1 0.0000 0.0000 0.2465 [3 per cell]
Ir1 0.0000 0.0000 0.5057 [3 per cell]
Ir2 0.0000 0.0000 0.7502 [3 per cell]

The calculation puts the formation energy at -0.02 eV/atom. Its total energy is -8.579 eV per atom.

***

6.
First-principles (PBE) data for a relaxed TaAsIr2 crystal, as listed in Alexandria via LeMat-Bulk.

a b c (Å): 3.977 3.977 3.974
angles (deg): 90.00 90.00 90.00
Space group P4/mmm (No. 123)
Asymmetric unit:
Ta1 0.000 0.000 0.000 [1 per cell]
As1 0.500 0.500 0.000 [1 per cell]
Ir1 0.000 0.500 0.500 [2 per cell]

The calculation puts the formation energy at -0.07 eV/atom. Its total energy is -8.631 eV per atom.

***

7.
First-principles (PBE) data for a relaxed Ta2AsIr crystal, as listed in Alexandria via LeMat-Bulk.

a b c (Å): 4.777 4.777 2.907
angles (deg): 90.00 90.00 90.00
Space group P4/mmm (No. 123)
Asymmetric unit:
Ta1 0.000 0.500 0.000 [2 per cell]
As1 0.000 0.000 0.500 [1 per cell]
Ir1 0.500 0.500 0.500 [1 per cell]

The calculation puts the formation energy at -0.18 eV/atom. Its total energy is -9.483 eV per atom.

***

8.
First-principles (PBE) data for a relaxed TaAsIr2 crystal, as listed in Alexandria via LeMat-Bulk.

a b c (Å): 9.670 2.983 4.496
angles (deg): 90.00 92.88 90.00
Space group Cm (No. 8)
Asymmetric unit:
Ta1 0.000 0.000 0.000 [2 per cell]
As1 0.231 0.000 0.731 [2 per cell]
Ir1 0.217 0.500 0.242 [2 per cell]
Ir2 0.448 0.000 0.480 [2 per cell]

The calculation puts the formation energy at -0.18 eV/atom. Its total energy is -8.737 eV per atom.

***

9.
First-principles (PBE) data for a relaxed Ta2AsIr crystal, as listed in Alexandria via LeMat-Bulk.

a b c (Å): 2.886 4.114 5.523
angles (deg): 90.00 90.00 90.00
Space group Pmmm (No. 47)
Asymmetric unit:
Ta1 0.000 0.000 0.247 [2 per cell]
As1 0.500 0.500 0.500 [1 per cell]
Ir1 0.500 0.500 0.000 [1 per cell]

The calculation puts the formation energy at -0.26 eV/atom. Its total energy is -9.566 eV per atom.

***

10.
First-principles (PBE) data for a relaxed Ta2AsIr crystal, as listed in Alexandria via LeMat-Bulk.

a b c (Å): 9.742 2.994 4.742
angles (deg): 90.00 106.59 90.00
Space group Cm (No. 8)
Asymmetric unit:
Ta1 0.000 0.000 0.000 [2 per cell]
Ta2 0.215 0.000 0.625 [2 per cell]
As1 0.470 0.000 0.484 [2 per cell]
Ir1 0.244 0.500 0.141 [2 per cell]

The calculation puts the formation energy at -0.27 eV/atom. Its total energy is -9.573 eV per atom.

***

11.
First-principles (PBE) data for a relaxed Ta2AsIr crystal, as listed in Alexandria via LeMat-Bulk.

a b c (Å): 3.737 4.506 7.922
angles (deg): 90.00 90.00 90.00
Space group Cmm2 (No. 35)
Asymmetric unit:
Ta1 0.000 0.000 0.000 [2 per cell]
Ta2 0.000 0.500 0.281 [2 per cell]
As1 0.000 0.500 0.756 [2 per cell]
Ir1 0.000 0.000 0.539 [2 per cell]

The calculation puts the formation energy at -0.11 eV/atom. Its total energy is -9.411 eV per atom.

***

12.
First-principles (PBE) data for a relaxed Ta2AsIr crystal, as listed in Alexandria via LeMat-Bulk.

a b c (Å): 5.791 7.480 3.059
angles (deg): 90.00 90.00 90.00
Space group Cmmm (No. 65)
Asymmetric unit:
Ta1 0.250 0.250 0.000 [4 per cell]
As1 0.000 0.000 0.500 [2 per cell]
Ir1 0.000 0.500 0.500 [2 per cell]

The calculation puts the formation energy at -0.22 eV/atom. Its total energy is -9.528 eV per atom.

***

13.
First-principles (PBE) data for a relaxed TbAs2Ir3 crystal, as listed in Alexandria via LeMat-Bulk.

a b c (Å): 16.482 4.018 9.912
angles (deg): 90.00 107.42 90.00
Space group C2/m (No. 12)
Asymmetric unit:
Tb1 0.000 0.000 0.000 [2 per cell]
Tb2 0.156 0.000 0.697 [4 per cell]
As1 0.040 0.500 0.781 [4 per cell]
As2 0.137 0.500 0.457 [4 per cell]
As3 0.196 0.000 0.129 [4 per cell]
Ir1 0.000 0.500 0.500 [2 per cell]
Ir2 0.040 0.000 0.322 [4 per cell]
Ir3 0.125 0.500 0.207 [4 per cell]
Ir4 0.178 0.500 0.951 [4 per cell]
Ir5 0.222 0.000 0.392 [4 per cell]

The calculation puts the formation energy at -0.59 eV/atom. Its total energy is -7.346 eV per atom.

***

14.
First-principles (PBE) data for a relaxed Tb4Te2AsIr crystal, as listed in Alexandria via LeMat-Bulk.

a b c (Å): 7.344 4.193 7.544
angles (deg): 90.00 108.58 90.00
Space group P2/m (No. 10)
Asymmetric unit:
Tb1 0.227 0.000 0.209 [2 per cell]
Tb2 0.250 0.500 0.786 [2 per cell]
Te1 0.000 0.000 0.500 [1 per cell]
Te2 0.500 0.500 0.500 [1 per cell]
As1 0.500 0.000 0.000 [1 per cell]
Ir1 0.000 0.500 0.000 [1 per cell]

As for the raw formation energy: -1.258 eV/atom. Its total energy is -6.047 eV per atom.

***

15.
First-principles (PBE) data for a relaxed TcAsIr crystal, as listed in Alexandria via LeMat-Bulk.

a b c (Å): 10.350 2.882 6.493
angles (deg): 90.00 104.56 90.00
Space group Cm (No. 8)
Asymmetric unit:
Tc1 0.000 0.000 0.000 [2 per cell]
Tc2 0.195 0.500 0.241 [2 per cell]
As1 0.058 0.500 0.714 [2 per cell]
As2 0.280 0.000 0.552 [2 per cell]
Ir1 0.259 0.000 0.925 [2 per cell]
Ir2 0.446 0.000 0.325 [2 per cell]

The distance to the lowest polymorph of the same formula is 0.064 eV/atom. The calculation puts the formation energy at -0.05 eV/atom. Its total energy is -8.006 eV per atom.

***

16.
First-principles (PBE) data for a relaxed TcAsIr2 crystal, as listed in Alexandria via LeMat-Bulk.

a b c (Å): 2.841 3.836 5.498
angles (deg): 90.00 90.00 90.00
Space group Pmmm (No. 47)
Asymmetric unit:
Tc1 0.000 0.000 0.000 [1 per cell]
As1 0.000 0.000 0.500 [1 per cell]
Ir1 0.500 0.500 0.240 [2 per cell]

The calculation puts the formation energy at 0.11 eV/atom. Its total energy is -8.073 eV per atom.

***

17.
First-principles (PBE) data for a relaxed Tc2AsIr crystal, as listed in Alexandria via LeMat-Bulk.

a b c (Å): 2.931 2.931 6.728
angles (deg): 90.00 90.00 90.00
Space group P4/mmm (No. 123)
Asymmetric unit:
Tc1 0.000 0.000 0.227 [2 per cell]
As1 0.500 0.500 0.000 [1 per cell]
Ir1 0.500 0.500 0.500 [1 per cell]

The calculation puts the formation energy at -0.02 eV/atom. Its total energy is -8.578 eV per atom.

***

18.
First-principles (PBE) data for a relaxed TcAsIr2 crystal, as listed in Alexandria via LeMat-Bulk.

a b c (Å): 3.874 3.874 3.972
angles (deg): 90.00 90.00 90.00
Space group P4/mmm (No. 123)
Asymmetric unit:
Tc1 0.000 0.000 0.000 [1 per cell]
As1 0.500 0.500 0.000 [1 per cell]
Ir1 0.000 0.500 0.500 [2 per cell]

The calculation puts the formation energy at 0.25 eV/atom. Its total energy is -7.931 eV per atom.

***

19.
First-principles (PBE) data for a relaxed TcAsIr2 crystal, as listed in Alexandria via LeMat-Bulk.

a b c (Å): 2.827 4.596 4.608
angles (deg): 90.00 90.00 90.00
Space group Pmmm (No. 47)
Asymmetric unit:
Tc1 0.000 0.000 0.000 [1 per cell]
As1 0.500 0.500 0.000 [1 per cell]
Ir1 0.000 0.500 0.500 [1 per cell]
Ir2 0.500 0.000 0.500 [1 per cell]

The calculation puts the formation energy at 0.22 eV/atom. Its total energy is -7.968 eV per atom.

***

20.
First-principles (PBE) data for a relaxed Tc2AsIr crystal, as listed in Alexandria via LeMat-Bulk.

a b c (Å): 3.714 3.714 4.335
angles (deg): 90.00 90.00 90.00
Space group P4/mmm (No. 123)
Asymmetric unit:
Tc1 0.000 0.500 0.000 [2 per cell]
As1 0.000 0.000 0.500 [1 per cell]
Ir1 0.500 0.500 0.500 [1 per cell]

The calculation puts the formation energy at 0.30 eV/atom. Its total energy is -8.265 eV per atom.

***

Listing total magnetic moment for the structures above in their given order: 0.0; 0.0; 0.0; 0.0; 0.0; 0.0; 0.0; 0.0; 0.0; 0.0; 0.0; 0.0; 0.0; 0.0; 0.0; 0.0; 0.0; 1.1; 0.7; 0.0 μB/f.u..